(1)
Below is a relaxed structure of Sr3C4, with properties calculated at the PBE level.

a = 6.2931 Å, b = 6.2931 Å, c = 6.2931 Å
α = 90.00°, β = 90.00°, γ = 90.00°
Last column: nearest neighbours and their distance in Å.
Fractional coordinates of all 7 atoms:
Sr 0.5000 0.5000 0.0000  4 C 2.65
Sr 0.0000 0.5000 0.5000  4 C 2.65
Sr 0.5000 0.0000 0.5000  4 C 2.65
C 0.7268 0.2732 0.2732  3 Sr 2.65
C 0.7268 0.7268 0.7268  3 Sr 2.65
C 0.2732 0.7268 0.2732  3 Sr 2.65
C 0.2732 0.2732 0.7268  3 Sr 2.65

Properties
crystal system: cubic
polymorph energy (0 for the lowest one): 100.44 kJ per mole of atoms
formation enthalpy at 0 K: 2344 meV/atom
space-group type: P-43m, No. 215

(2)
Below is a relaxed structure of LaY2Zr, with properties calculated at the PBE level.

a = 5.5757 Å, b = 5.5757 Å, c = 5.5757 Å
α = 60.00°, β = 60.00°, γ = 60.00°
Last column: nearest neighbours and their distance in Å.
Fractional coordinates of all 4 atoms:
La 0.5000 0.5000 0.5000  4 Zr 3.41, 4 Y 3.41
Y 0.0000 0.0000 0.0000  4 Y 3.41, 4 Zr 3.41
Y 0.2500 0.2500 0.2500  4 La 3.41, 4 Y 3.41
Zr 0.7500 0.7500 0.7500  4 Y 3.41, 4 La 3.41

Properties
crystal system: cubic
polymorph energy (0 for the lowest one): 14.03 kJ per mole of atoms
formation enthalpy at 0 K: 221 meV/atom
space-group type: F-43m, No. 216

(3)
Below is a relaxed structure of Ta5Pb, with properties calculated at the PBE level.

a = 7.3215 Å, b = 7.3215 Å, c = 3.5177 Å
α = 90.00°, β = 90.00°, γ = 142.62°
Last column: nearest neighbours and their distance in Å.
Fractional coordinates of all 6 atoms:
Ta 0.3226 0.6774 0.5000  8 Ta 2.83-3.09, 2 Pb 3.02
Ta 0.8370 0.1630 0.0000  8 Ta 2.83-2.94
Ta 0.0000 0.0000 0.5000  4 Ta 2.86, 4 Pb 2.93
Ta 0.6774 0.3226 0.5000  8 Ta 2.83-3.09, 2 Pb 3.02
Ta 0.1630 0.8370 0.0000  8 Ta 2.83-2.94
Pb 0.5000 0.5000 0.0000  12 Ta 2.93-3.26

Properties
crystal system: orthorhombic
formation enthalpy at 0 K: 174 meV/atom
space-group type: Cmmm, No. 65

(4)
Below is a relaxed structure of Ge2Te4Au3, with properties calculated at the PBE level.

a = 6.9949 Å, b = 9.9474 Å, c = 9.9474 Å
α = 80.85°, β = 62.91°, γ = 62.91°
Last column: nearest neighbours and their distance in Å.
Fractional coordinates of all 18 atoms:
Te 0.1363 0.2604 0.0061  1 Au 2.65, 2 Ge 2.80
Te 0.3637 0.9939 0.7397  1 Au 2.65, 2 Ge 2.80
Te 0.6363 0.0061 0.2603  1 Au 2.65, 2 Ge 2.80
Te 0.8637 0.7396 0.9939  1 Au 2.65, 2 Ge 2.80
Te 0.8797 0.2155 0.4440  2 Au 2.63-2.78, 1 Ge 2.79
Te 0.6203 0.5560 0.7845  2 Au 2.63-2.78, 1 Ge 2.79
Te 0.3797 0.4440 0.2155  2 Au 2.63-2.78, 1 Ge 2.79
Te 0.1203 0.7845 0.5560  2 Au 2.63-2.78, 1 Ge 2.79
Au 0.7500 0.5216 0.4784  2 Ge 2.55, 2 Te 2.78
Au 0.9976 0.1274 0.6697  2 Te 2.63-2.65
Au 0.2500 0.4784 0.5216  2 Ge 2.55, 2 Te 2.78
Au 0.0024 0.8726 0.3303  2 Te 2.63-2.65
Au 0.5024 0.3303 0.8726  2 Te 2.63-2.65
Au 0.4976 0.6697 0.1274  2 Te 2.63-2.65
Ge 0.0363 0.4874 0.8092  1 Au 2.55, 3 Te 2.79-2.80
Ge 0.9637 0.5126 0.1908  1 Au 2.55, 3 Te 2.79-2.80
Ge 0.4637 0.1908 0.5126  1 Au 2.55, 3 Te 2.79-2.80
Ge 0.5363 0.8092 0.4874  1 Au 2.55, 3 Te 2.79-2.80

Properties
crystal system: monoclinic
uncorrected formation energy: 0.07 eV per formula unit
space-group type: C2/c, No. 15

(5)
Below is a relaxed structure of AlCd2, with properties calculated at the PBE level.

a = 6.7422 Å, b = 6.7422 Å, c = 6.2636 Å
α = 76.38°, β = 76.38°, γ = 27.03°
Last column: nearest neighbours and their distance in Å.
Fractional coordinates of all 6 atoms:
Cd 0.9666 0.9666 0.5527  4 Al 3.00-3.27, 8 Cd 3.01-3.15
Cd 0.6388 0.6388 0.2224  4 Al 3.08, 8 Cd 3.10-3.15
Cd 0.3111 0.3111 0.8918  4 Al 3.00-3.27, 8 Cd 3.01-3.15
Cd 0.6389 0.6389 0.7223  8 Cd 3.13-3.15, 4 Al 3.17
Al 0.9664 0.9664 0.0743  4 Al 2.87-3.15, 7 Cd 3.00-3.17
Al 0.3115 0.3115 0.3698  4 Al 2.87-3.15, 7 Cd 3.00-3.17

Properties
crystal system: monoclinic
formation enthalpy at 0 K: 109 meV/atom
space-group type: C2/m, No. 12

(6)
Below is a relaxed structure of Ag2PRu, with properties calculated at the PBE level.

a = 5.6900 Å, b = 5.6900 Å, c = 2.9510 Å
α = 75.45°, β = 75.45°, γ = 126.03°
Last column: nearest neighbours and their distance in Å.
Fractional coordinates of all 4 atoms:
P 0.0000 0.0000 0.5000  4 Ru 2.58-2.63, 4 Ag 2.86
Ag 0.5000 0.0000 0.0000  4 Ag 2.58-2.63, 2 Ru 2.86, 2 P 2.86
Ag 0.0000 0.5000 0.0000  4 Ag 2.58-2.63, 2 Ru 2.86, 2 P 2.86
Ru 0.5000 0.5000 0.5000  4 P 2.58-2.63, 4 Ag 2.86

Properties
crystal system: monoclinic
polymorph energy (0 for the lowest one): 44.41 kJ per mole of atoms
formation enthalpy at 0 K: 414 meV/atom
space-group type: C2/m, No. 12

(7)
Below is a relaxed structure of KMgSiF2, with properties calculated at the PBE level.

a = 4.4469 Å, b = 6.4913 Å, c = 4.4469 Å
α = 90.00°, β = 90.00°, γ = 90.00°
Last column: nearest neighbours and their distance in Å.
Fractional coordinates of all 5 atoms:
F 0.0000 0.0000 0.5000  2 Si 2.22
F 0.5000 0.0000 0.0000  2 Si 2.22
Mg 0.5000 0.5000 0.5000  4 K 3.14
K 0.0000 0.5000 0.0000  4 Mg 3.14, 2 Si 3.25
Si 0.0000 0.0000 0.0000  4 F 2.22

Properties
crystal system: tetragonal
uncorrected formation energy: -3.24 eV per formula unit
space-group type: P4/mmm, No. 123

(8)
Below is a relaxed structure of TaAg2Ir, with properties calculated at the PBE level.

a = 5.2680 Å, b = 5.2680 Å, c = 5.2680 Å
α = 137.10°, β = 137.22°, γ = 62.19°
Last column: nearest neighbours and their distance in Å.
Fractional coordinates of all 4 atoms:
Ag 0.4999 0.4999 0.0000  4 Ag 2.72, 4 Ir 2.96-2.97, 4 Ta 2.96-2.97
Ag 0.0001 0.0001 0.0000  4 Ag 2.72, 4 Ir 2.96-2.97, 4 Ta 2.96-2.97
Ta 0.2500 0.7500 0.5000  4 Ir 2.72, 8 Ag 2.96-2.97
Ir 0.7500 0.2500 0.5000  4 Ta 2.72, 8 Ag 2.96-2.97

Properties
crystal system: orthorhombic
polymorph energy (0 for the lowest one): 9.60 kJ per mole of atoms
formation enthalpy at 0 K: 125 meV/atom
space-group type: Immm, No. 71

(9)
Below is a relaxed structure of RbAcAs2Pd5, with properties calculated at the PBE level.

a = 4.4403 Å, b = 4.4403 Å, c = 10.5548 Å
α = 90.00°, β = 90.00°, γ = 90.00°
Last column: nearest neighbours and their distance in Å.
Fractional coordinates of all 9 atoms:
Pd 0.5000 0.5000 0.5000  8 Pd 3.07, 4 Ac 3.14, 2 As 3.22
Pd 0.5000 0.0000 0.2993  2 As 2.48
Pd 0.0000 0.5000 0.2993  2 As 2.48
Pd 0.0000 0.5000 0.7007  2 As 2.48
Pd 0.5000 0.0000 0.7007  2 As 2.48
Rb 0.0000 0.0000 0.0000  8 As 3.76, 8 Pd 3.86
Ac 0.0000 0.0000 0.5000  12 Pd 3.07-3.14
As 0.5000 0.5000 0.1954  4 Pd 2.48
As 0.5000 0.5000 0.8046  4 Pd 2.48

Properties
crystal system: tetragonal
formation enthalpy at 0 K: -606 meV/atom
space-group type: P4/mmm, No. 123

no.,DOS at the Fermi energy (states/eV/cell),E (eV/atom)
1,7.37,-3.6477
2,7.93,-6.3799
3,5.68,-10.3212
4,6.89,-3.5072
5,2.18,-1.7490
6,3.36,-4.6828
7,1.97,-3.0201
8,2.52,-6.4791
9,3.84,-5.0881